The following is a PBE calculation of a relaxed YHg2W crystal, from Alexandria.

Properties
The value obtained for the density of states at the Fermi level is 3.84 states/eV/f.u. For the raw total energy, the calculation gives -4.537 eV per atom. Its relative energy among the computed polymorphs is 0.45 eV per formula unit. Its size of the total moment is 0.0 Bohr magnetons per cell.

Structure (POSCAR):
```
YHg2W
1.0
-1.4995 -1.0559 -5.3179
-3.5161 -4.3339 -0.7054
0.1633 4.5494 3.3046
W Y Hg
1 1 2
Cartesian
-2.5078 -2.6949 -3.0117
-1.9220 0.3993 -2.5125
0.0000 0.0000 0.0000
-2.9303 -1.2397 -0.2063
```

=====

The following is a PBE calculation of a relaxed YHgW4 crystal, from Alexandria.

Properties
The value obtained for the density of states at the Fermi level is 6.94 states/eV/f.u. For the raw total energy, the calculation gives -9.314 eV per atom. Its size of the total moment is 0.0 Bohr magnetons per cell.

Structure (POSCAR):
```
YHgW4
1.0
-3.0911 -0.7318 4.4500
-4.3701 -3.2784 -0.2160
0.0560 -4.8053 2.6074
Hg W Y
1 4 1
Cartesian
0.0000 0.0000 0.0000
-2.7748 -3.3033 2.5636
-4.9648 -4.9463 2.4553
-2.7468 -5.7114 3.8702
-4.3239 -3.6700 4.7936
-5.5539 -6.6116 5.1310
```

=====

The following is a PBE calculation of a relaxed Y2HgW crystal, from Alexandria.

Properties
The value obtained for the density of states at the Fermi level is 5.39 states/eV/f.u. For the raw total energy, the calculation gives -6.194 eV per atom. Its size of the total moment is 1.5 Bohr magnetons per cell.

Structure (POSCAR):
```
Y2HgW
1.0
-9.2983 -2.4023 -2.2208
-8.8388 -4.3236 0.5856
-9.7622 -1.0323 0.8916
Y W Hg
2 1 1
Cartesian
-13.8070 -3.8395 -0.3680
-0.1426 -0.0397 -0.0038
-20.9244 -5.8187 -0.5577
-6.9748 -1.9396 -0.1859
```

=====

The following is a PBE calculation of a relaxed Y2HgW crystal, from Alexandria.

Properties
The value obtained for the density of states at the Fermi level is 3.82 states/eV/f.u. For the raw total energy, the calculation gives -6.093 eV per atom. Its size of the total moment is 0.0 Bohr magnetons per cell.

Structure (POSCAR):
```
Y2HgW
1.0
4.7983 -0.0414 0.0100
3.7839 2.9508 0.0100
0.8399 0.2848 6.9607
W Y Hg
1 2 1
Cartesian
2.3555 0.7985 1.7452
8.5788 2.9083 0.1636
4.7144 1.5982 3.3467
7.0666 2.3956 5.2355
```

=====

The following is a PBE calculation of a relaxed YHg2W crystal, from Alexandria.

Properties
The value obtained for the density of states at the Fermi level is 2.65 states/eV/f.u. For the raw total energy, the calculation gives -4.255 eV per atom. Its relative energy among the computed polymorphs is 1.58 eV per formula unit. Its size of the total moment is 2.0 Bohr magnetons per cell.

Structure (POSCAR):
```
YHg2W
1.0
-1.1229 -0.9585 -4.0516
-1.2407 -3.9286 1.2733
-10.7136 1.1474 0.4031
W Y Hg
2 2 4
Cartesian
0.0000 0.0000 0.0000
-6.5091 -1.1274 -2.5188
-6.5680 -2.6124 0.1436
-1.1818 -2.4436 -1.3891
-3.5714 -0.8342 -2.4027
-3.5580 -2.2575 0.5205
-10.1432 -3.5421 -2.0877
-8.8816 -0.8457 -0.7805
```

=====

The following is a PBE calculation of a relaxed YHg2W crystal, from Alexandria.

Properties
The value obtained for the density of states at the Fermi level is 2.19 states/eV/f.u. For the raw total energy, the calculation gives -4.582 eV per atom. Its relative energy among the computed polymorphs is 0.27 eV per formula unit. Its size of the total moment is 0.0 Bohr magnetons per cell.

Structure (POSCAR):
```
YHg2W
1.0
6.0351 0.0857 0.2966
5.1713 3.1124 0.2966
2.2179 0.6330 4.7873
W Hg Y
1 2 1
Cartesian
6.8240 1.9474 3.0673
10.0283 2.8619 3.6437
0.1609 0.0459 0.2441
3.1234 0.8914 1.1158
```

=====

The following is a PBE calculation of a relaxed YHg2W crystal, from Alexandria.

Properties
The value obtained for the density of states at the Fermi level is 2.29 states/eV/f.u. For the raw total energy, the calculation gives -4.544 eV per atom. Its relative energy among the computed polymorphs is 0.42 eV per formula unit. Its size of the total moment is 1.0 Bohr magnetons per cell.

Structure (POSCAR):
```
YHg2W
1.0
3.4626 -3.5286 -0.3805
-0.9509 -4.5909 1.6139
-0.5778 -3.7003 -3.2495
Hg W Y
2 1 1
Cartesian
0.4835 -2.9549 -0.5040
1.4504 -8.8648 -1.5121
0.9670 -5.9098 -1.0080
0.0000 0.0000 0.0000
```

=====

The following is a PBE calculation of a relaxed YHg2W crystal, from Alexandria.

Properties
The value obtained for the density of states at the Fermi level is 1.99 states/eV/f.u. For the raw total energy, the calculation gives -4.525 eV per atom. Its relative energy among the computed polymorphs is 0.50 eV per formula unit. Its size of the total moment is 0.0 Bohr magnetons per cell.

Structure (POSCAR):
```
YHg2W
1.0
9.8136 -0.0098 -0.0058
9.2674 3.2281 -0.0058
9.2674 1.5631 2.8244
Hg W Y
2 1 1
Cartesian
6.9802 1.1773 0.6926
28.3045 4.7740 2.8085
14.2132 2.3973 1.4103
21.3732 3.6049 2.1208
```

=====

The following is a PBE calculation of a relaxed YHg2W crystal, from Alexandria.

Properties
The value obtained for the density of states at the Fermi level is 4.38 states/eV/f.u. For the raw total energy, the calculation gives -4.284 eV per atom. Its relative energy among the computed polymorphs is 1.46 eV per formula unit. Its size of the total moment is 2.2 Bohr magnetons per cell.

Structure (POSCAR):
```
YHg2W
1.0
5.0122 0.0000 0.0000
2.5061 4.3407 0.0000
2.5061 1.4469 4.0924
Hg Y W
2 1 1
Cartesian
2.5061 1.4469 1.0231
0.0000 0.0000 0.0000
7.5183 4.3407 3.0693
5.0122 2.8938 2.0462
```

=====

The following is a PBE calculation of a relaxed YHg2W crystal, from Alexandria.

Properties
The value obtained for the density of states at the Fermi level is 3.61 states/eV/f.u. For the raw total energy, the calculation gives -4.650 eV per atom. Its relative energy among the computed polymorphs is 0.00 eV per formula unit. Its size of the total moment is 0.0 Bohr magnetons per cell.

Structure (POSCAR):
```
YHg2W
1.0
-2.2709 2.0017 -3.0269
-1.1878 -2.7275 -0.9126
-5.9559 -2.0073 3.1410
Hg Y W
2 1 1
Cartesian
-1.2892 -2.7141 -0.8277
-3.4705 -2.3808 1.0293
-6.4933 -2.5502 0.1579
-2.9214 -0.1828 -0.9563
```

=====

The following is a PBE calculation of a relaxed YHg2W crystal, from Alexandria.

Properties
The value obtained for the density of states at the Fermi level is 4.46 states/eV/f.u. For the raw total energy, the calculation gives -4.577 eV per atom. Its relative energy among the computed polymorphs is 0.29 eV per formula unit. Its size of the total moment is 0.0 Bohr magnetons per cell.

Structure (POSCAR):
```
YHg2W
1.0
-4.9058 -0.7723 1.9998
-2.8902 -1.7887 4.1364
-0.6459 4.7162 2.8528
Hg W Y
2 1 1
Cartesian
-4.1647 1.2024 4.5008
-0.7022 4.5914 2.8465
-6.3314 1.6164 6.7418
-2.1105 0.5388 2.2473
```

=====

The following is a PBE calculation of a relaxed YHg3W crystal, from Alexandria.

Properties
The value obtained for the density of states at the Fermi level is 5.09 states/eV/f.u. For the raw total energy, the calculation gives -3.326 eV per atom. Its relative energy among the computed polymorphs is 0.00 eV per formula unit. Its size of the total moment is 0.0 Bohr magnetons per cell.

Structure (POSCAR):
```
YHg3W
1.0
5.2009 0.0000 0.0000
0.0000 5.2009 0.0000
0.0000 0.0000 5.2009
Y Hg W
1 3 1
Cartesian
2.6004 2.6004 2.6004
2.6004 0.0000 0.0000
0.0000 2.6004 0.0000
0.0000 0.0000 2.6004
0.0000 0.0000 0.0000
```

=====

The following is a PBE calculation of a relaxed Y2HgW crystal, from Alexandria.

Properties
The value obtained for the density of states at the Fermi level is 3.59 states/eV/f.u. For the raw total energy, the calculation gives -6.299 eV per atom. Its size of the total moment is 0.0 Bohr magnetons per cell.

Structure (POSCAR):
```
Y2HgW
1.0
-5.6466 1.4395 1.0622
-4.5238 0.3336 3.8089
0.2301 5.0824 1.9523
W Y Hg
1 2 1
Cartesian
-2.2514 1.4669 1.5109
-7.7103 4.9054 5.1267
-9.8519 2.0446 4.8503
-5.2673 3.6395 3.6185
```

=====

The following is a PBE calculation of a relaxed Y2HgW crystal, from Alexandria.

Properties
The value obtained for the density of states at the Fermi level is 3.48 states/eV/f.u. For the raw total energy, the calculation gives -6.224 eV per atom. Its size of the total moment is 0.0 Bohr magnetons per cell.

Structure (POSCAR):
```
Y2HgW
1.0
-3.0043 4.9156 -0.3627
-5.7348 -0.6497 0.1021
4.5805 -1.5150 3.1692
Y Hg W
2 1 1
Cartesian
-1.3341 2.7363 1.3399
-0.0691 0.0337 -0.0021
-4.2536 2.0764 -0.1269
-2.8712 0.0375 1.5672
```

=====

The following is a PBE calculation of a relaxed YHg2W crystal, from Alexandria.

Properties
The value obtained for the density of states at the Fermi level is 1.88 states/eV/f.u. For the raw total energy, the calculation gives -4.633 eV per atom. Its relative energy among the computed polymorphs is 0.06 eV per formula unit. Its size of the total moment is 0.0 Bohr magnetons per cell.

Structure (POSCAR):
```
YHg2W
1.0
-2.5223 -1.5564 0.7240
1.6815 -2.5285 -0.2961
2.2923 0.4706 8.9980
Hg W Y
2 1 1
Cartesian
0.1888 -1.9174 2.6051
0.0094 0.0019 0.0370
1.1315 0.2323 4.4416
1.2680 -1.6959 6.8412
```

=====

The following is a PBE calculation of a relaxed Y2HgW crystal, from Alexandria.

Properties
The value obtained for the density of states at the Fermi level is 4.65 states/eV/f.u. For the raw total energy, the calculation gives -6.318 eV per atom. Its size of the total moment is 0.0 Bohr magnetons per cell.

Structure (POSCAR):
```
Y2HgW
1.0
-0.8851 5.1742 1.1415
-1.5650 0.3625 -2.8569
-4.6361 -1.3166 2.3732
W Hg Y
1 1 2
Cartesian
-5.4782 1.6613 0.8624
-2.7160 -0.2669 -0.8964
-2.3765 2.1385 1.1044
-4.2521 -1.1065 1.7186
```

=====

The following is a PBE calculation of a relaxed YHg2W crystal, from Alexandria.

Properties
The value obtained for the density of states at the Fermi level is 2.04 states/eV/f.u. For the raw total energy, the calculation gives -4.618 eV per atom. Its relative energy among the computed polymorphs is 0.12 eV per formula unit. Its size of the total moment is 0.0 Bohr magnetons per cell.

Structure (POSCAR):
```
YHg2W
1.0
4.4532 0.0000 0.0000
0.0000 4.4512 0.0000
0.0000 0.0000 4.2665
W Hg Y
1 2 1
Cartesian
2.2266 0.0000 2.1332
0.0000 0.0000 0.0000
2.2266 2.2256 0.0000
0.0000 2.2256 2.1332
```

=====

The following is a PBE calculation of a relaxed YHg2W crystal, from Alexandria.

Properties
The value obtained for the density of states at the Fermi level is 4.23 states/eV/f.u. For the raw total energy, the calculation gives -4.617 eV per atom. Its relative energy among the computed polymorphs is 0.13 eV per formula unit. Its size of the total moment is 1.1 Bohr magnetons per cell.

Structure (POSCAR):
```
YHg2W
1.0
5.3337 0.0302 -0.0562
1.6119 5.0844 0.0562
-3.4415 -2.5999 3.1384
Y Hg W
1 2 1
Cartesian
0.8216 2.5209 1.5973
0.0007 0.0005 0.0000
3.4721 2.5568 0.0000
2.6826 -0.0062 1.5411
```

=====

The following is a PBE calculation of a relaxed ZnHgW4 crystal, from Alexandria.

Properties
The value obtained for the density of states at the Fermi level is 7.69 states/eV/f.u. For the raw total energy, the calculation gives -8.066 eV per atom. Its size of the total moment is 0.0 Bohr magnetons per cell.

Structure (POSCAR):
```
ZnHgW4
1.0
0.0000 3.7837 3.7837
3.7837 0.0000 3.7837
3.7837 3.7837 0.0000
Hg W Zn
1 4 1
Cartesian
0.0000 0.0000 0.0000
4.7258 4.7258 2.8417
2.8417 4.7258 4.7258
4.7258 2.8417 4.7258
2.8417 2.8417 2.8417
5.6756 5.6756 5.6756
```

=====

The following is a PBE calculation of a relaxed ZnHgW3 crystal, from Alexandria.

Properties
The value obtained for the density of states at the Fermi level is 5.48 states/eV/f.u. For the raw total energy, the calculation gives -6.121 eV per atom. Its relative energy among the computed polymorphs is 0.00 eV per formula unit. Its size of the total moment is 0.0 Bohr magnetons per cell.

Structure (POSCAR):
```
ZnHgW3
1.0
-0.8166 1.8292 4.1174
-1.5784 -4.0354 1.4797
4.2199 -1.1554 1.3502
W Hg Zn
3 1 1
Cartesian
-0.4083 0.9146 2.0587
-0.7892 -2.0177 0.7399
2.1099 -0.5777 0.6751
0.9125 -1.6808 3.4736
0.0000 0.0000 0.0000
```

=====

no.,V (A^3/atom)
1,21.455
2,19.261
3,24.624
4,24.905
5,24.039
6,21.412
7,21.549
8,22.478
9,22.259
10,20.979
11,21.716
12,28.136
13,23.776
14,23.282
15,21.602
16,23.647
17,21.143
18,21.246
19,18.057
20,19.199